Entry 1:
Ca9N2Cl14 | PBE | relaxed

Cell and atoms, written as extended XYZ:
```
25
Lattice="8.023 0.000 0.000 -4.011 6.948 0.000 0.000 0.000 11.166" Properties=species:S:1:pos:R:3 pbc="T T T"
Ca 0.000 0.000 0.000
Ca -0.861 2.594 3.788
Ca -1.334 6.397 3.788
Ca 0.000 4.632 0.585
Ca 1.816 2.043 7.378
Ca 2.195 4.904 3.788
Ca 4.011 2.316 10.581
Ca 5.345 0.551 7.378
Ca 4.873 4.353 7.378
N 0.000 4.632 2.959
N 4.011 2.316 8.207
Cl 0.000 0.000 2.868
Cl 0.000 0.000 8.298
Cl -2.385 4.695 10.089
Cl -0.937 2.722 6.666
Cl -1.186 6.399 6.666
Cl 1.138 2.534 10.089
Cl 2.764 0.282 1.077
Cl 1.888 2.172 4.500
Cl 2.123 4.775 6.666
Cl 1.248 6.666 10.089
Cl 2.874 4.413 1.077
Cl 5.197 0.549 4.500
Cl 4.949 4.226 4.500
Cl 6.397 2.252 1.077
```

## Properties
D(E_F) ... 13.234 states/eV/f.u.
Formation energy (no corrections) ... -2.01 eV/atom
Space group ... P-3, No. 147

---

Entry 2:
PmHoTl2O6 | PBE | relaxed

Cell and atoms, written as extended XYZ:
```
10
Lattice="2.937 1.696 5.156 -2.937 1.696 5.156 0.000 -3.391 5.156" Properties=species:S:1:pos:R:3 pbc="T T T"
Pm 0.000 0.000 0.000
Ho 0.000 0.000 7.661
Tl 0.000 0.000 4.291
Tl 0.000 0.000 12.071
O -1.692 -0.039 6.070
O -1.181 -1.673 8.613
O 0.879 -1.446 6.070
O -0.858 1.859 8.613
O 0.813 1.484 6.070
O 2.039 -0.186 8.613
```

## Properties
Formation energy (no corrections) ... -2.05 eV/atom
Space group ... R3, No. 146

---

Entry 3:
TmSb2Pb | PBE | relaxed

Cell and atoms, written as extended XYZ:
```
4
Lattice="5.258 0.000 0.000 0.000 5.258 0.000 0.000 0.000 4.025" Properties=species:S:1:pos:R:3 pbc="T T T"
Tm 0.000 0.000 0.000
Sb 0.000 2.629 2.012
Sb 2.629 0.000 2.012
Pb 2.629 2.629 0.000
```

## Properties
Energy above the lowest structure with this stoichiometry ... 0.063 eV per atom
D(E_F) ... 2.201 states/eV/f.u.
Formation energy (no corrections) ... -0.34 eV/atom
Space group ... P4/mmm, No. 123

---

Entry 4:
Ba3Pt7Pb2 | PBE | relaxed

Cell and atoms, written as extended XYZ:
```
12
Lattice="2.939 1.697 9.222 -2.939 1.697 9.222 0.000 -3.394 9.222" Properties=species:S:1:pos:R:3 pbc="T T T"
Ba 0.000 0.000 0.000
Ba 0.000 0.000 3.937
Ba 0.000 0.000 23.729
Pt -1.431 -0.826 11.564
Pt 0.000 -1.652 16.103
Pt -1.431 0.826 16.103
Pt 0.000 0.000 13.833
Pt 1.431 -0.826 11.564
Pt 0.000 1.652 11.564
Pt 1.431 0.826 16.103
Pb 0.000 0.000 9.114
Pb 0.000 0.000 18.552
```

## Properties
ΔE_f ... -0.523 eV/atom
D(E_F) ... 4.508 states/eV/f.u.
Space group ... R-3m, No. 166

---

Entry 5:
Zn2PPd2 | PBE | relaxed

Cell and atoms, written as extended XYZ:
```
10
Lattice="6.370 0.000 0.000 0.000 6.370 0.000 0.000 0.000 3.858" Properties=species:S:1:pos:R:3 pbc="T T T"
Zn 0.920 2.265 0.000
Zn 2.265 5.450 0.000
Zn 4.105 0.920 0.000
Zn 5.450 4.105 0.000
P 0.000 0.000 1.929
P 3.185 3.185 1.929
Pd 1.038 4.222 1.929
Pd 2.147 1.038 1.929
Pd 4.222 5.332 1.929
Pd 5.332 2.147 1.929
```

## Properties
ΔE_f ... -0.248 eV/atom
Energy above the lowest structure with this stoichiometry ... 0.000 eV per atom
D(E_F) ... 2.383 states/eV/f.u.
Space group ... P4/mbm, No. 127

---

Entry 6:
Tl3Bi2O8 | PBE | relaxed

Cell and atoms, written as extended XYZ:
```
13
Lattice="5.866 -3.390 0.000 5.866 3.390 0.000 -2.066 0.000 5.314" Properties=species:S:1:pos:R:3 pbc="T T T"
Tl 0.000 0.000 0.000
Tl 4.833 1.621 2.657
Tl 4.833 -1.621 2.657
Bi 1.522 0.000 4.467
Bi 8.145 0.000 0.847
O 4.186 1.911 0.418
O 0.441 0.000 2.400
O 5.480 1.911 4.897
O 3.431 0.000 3.289
O 6.235 0.000 2.025
O 4.186 -1.911 0.418
O 9.225 0.000 2.914
O 5.480 -1.911 4.897
```

## Properties
D(E_F) ... 5.208 states/eV/f.u.
Formation energy (no corrections) ... -0.78 eV/atom
Space group ... C2/m, No. 12

---

Entry 7:
Tl3SbSe | PBE | relaxed

Cell and atoms, written as extended XYZ:
```
5
Lattice="5.843 0.000 0.000 0.000 5.843 0.000 0.000 0.000 5.843" Properties=species:S:1:pos:R:3 pbc="T T T"
Tl 0.000 0.000 2.922
Tl 0.000 2.922 0.000
Tl 2.922 0.000 0.000
Sb 0.000 0.000 0.000
Se 2.922 2.922 2.922
```

## Properties
Energy above the lowest structure with this stoichiometry ... 0.488 eV per atom
D(E_F) ... 1.886 states/eV/f.u.
Formation energy (no corrections) ... 0.29 eV/atom
Space group ... Pm-3m, No. 221

---

Entry 8:
SmScGaOs | PBE | relaxed

Cell and atoms, written as extended XYZ:
```
4
Lattice="0.000 3.427 3.427 3.427 0.000 3.427 3.427 3.427 0.000" Properties=species:S:1:pos:R:3 pbc="T T T"
Sm 0.000 0.000 0.000
Sc 3.427 3.427 3.427
Ga 1.714 1.714 1.714
Os 5.141 5.141 5.141
```

## Properties
ΔE_f ... -0.318 eV/atom
D(E_F) ... 2.500 states/eV/f.u.
Space group ... F-43m, No. 216

---

Entry 9:
Na2MnHgN | PBE | relaxed

Cell and atoms, written as extended XYZ:
```
5
Lattice="5.152 0.000 0.000 0.000 5.152 0.000 0.000 0.000 3.696" Properties=species:S:1:pos:R:3 pbc="T T T"
Na 0.000 2.576 0.000
Na 2.576 0.000 0.000
Mn 0.000 0.000 1.848
Hg 2.576 2.576 1.848
N 0.000 0.000 0.000
```

## Properties
D(E_F) ... 2.434 states/eV/f.u.
Formation energy (no corrections) ... -0.06 eV/atom
Space group ... P4/mmm, No. 123

---

Entry 10:
Y2TiAlC | PBE | relaxed

Cell and atoms, written as extended XYZ:
```
5
Lattice="4.873 0.000 0.000 0.000 4.873 0.000 0.000 0.000 4.274" Properties=species:S:1:pos:R:3 pbc="T T T"
Y 0.000 2.436 0.000
Y 2.436 0.000 0.000
Ti 0.000 0.000 2.137
Al 2.436 2.436 2.137
C 0.000 0.000 0.000
```

## Properties
ΔE_f ... -0.387 eV/atom
D(E_F) ... 3.654 states/eV/f.u.
Space group ... P4/mmm, No. 123

---

Entry 11:
La3Nd8In | PBE | relaxed

Cell and atoms, written as extended XYZ:
```
12
Lattice="-4.397 4.397 5.817 4.397 -4.397 5.817 4.397 4.397 -5.817" Properties=species:S:1:pos:R:3 pbc="T T T"
La 0.000 0.000 0.000
La 4.397 0.000 2.909
La 0.000 4.397 2.909
Nd 3.300 3.300 -2.910
Nd 2.180 2.180 -0.105
Nd 2.216 -2.216 5.923
Nd 1.096 1.096 2.907
Nd 1.096 -1.096 8.728
Nd 2.216 2.216 5.712
Nd -2.216 2.216 5.923
Nd -1.096 1.096 8.728
In 0.000 0.000 5.817
```

## Properties
ΔE_f ... 0.384 eV/atom
D(E_F) ... 18.184 states/eV/f.u.
Space group ... I-42m, No. 121

---

Entry 12:
Sm3Pa5As8 | PBE | relaxed

Cell and atoms, written as extended XYZ:
```
16
Lattice="4.129 2.384 6.754 -4.129 2.384 6.754 0.000 -4.768 6.754" Properties=species:S:1:pos:R:3 pbc="T T T"
Sm -2.064 -1.192 6.754
Sm -2.064 1.192 13.508
Sm 0.000 2.384 6.754
Pa 0.000 0.000 0.000
Pa -4.129 0.000 10.131
Pa -2.064 1.192 3.377
Pa 2.064 1.192 3.377
Pa 0.000 0.000 10.131
As -2.084 -1.203 11.789
As 0.000 0.000 4.998
As 0.000 -2.406 8.474
As -2.084 1.203 8.474
As 2.084 -1.203 11.789
As 0.000 2.406 11.789
As 0.000 0.000 15.264
As 2.084 1.203 8.474
```

## Properties
ΔE_f ... -1.222 eV/atom
D(E_F) ... 17.117 states/eV/f.u.
Space group ... R-3m, No. 166

---

Copy entry 11 word for word.
La3Nd8In | PBE | relaxed

Cell and atoms, written as extended XYZ:
```
12
Lattice="-4.397 4.397 5.817 4.397 -4.397 5.817 4.397 4.397 -5.817" Properties=species:S:1:pos:R:3 pbc="T T T"
La 0.000 0.000 0.000
La 4.397 0.000 2.909
La 0.000 4.397 2.909
Nd 3.300 3.300 -2.910
Nd 2.180 2.180 -0.105
Nd 2.216 -2.216 5.923
Nd 1.096 1.096 2.907
Nd 1.096 -1.096 8.728
Nd 2.216 2.216 5.712
Nd -2.216 2.216 5.923
Nd -1.096 1.096 8.728
In 0.000 0.000 5.817
```

## Properties
ΔE_f ... 0.384 eV/atom
D(E_F) ... 18.184 states/eV/f.u.
Space group ... I-42m, No. 121

---

Copy entry 10 word for word.
Y2TiAlC | PBE | relaxed

Cell and atoms, written as extended XYZ:
```
5
Lattice="4.873 0.000 0.000 0.000 4.873 0.000 0.000 0.000 4.274" Properties=species:S:1:pos:R:3 pbc="T T T"
Y 0.000 2.436 0.000
Y 2.436 0.000 0.000
Ti 0.000 0.000 2.137
Al 2.436 2.436 2.137
C 0.000 0.000 0.000
```

## Properties
ΔE_f ... -0.387 eV/atom
D(E_F) ... 3.654 states/eV/f.u.
Space group ... P4/mmm, No. 123